Record 1
A geometry-optimized Y2TeP structure, computed with PBE.

Cell lengths 6.627, 6.627, 12.873 Å; angles 90.00, 90.00, 90.00 degrees
Space group I-42d (No. 122)
One atom of each set of equivalent atoms:
Y (0.207, 0.250, 0.125) x8
Te (0.000, 0.000, 0.500) x4
P (0.000, 0.000, 0.000) x4

Output
VASP energy = -6.417 eV/atom
Energy above the most stable polymorph in this dataset = 50.8 kJ per mole of atoms
Formation energy (no corrections) = -1.047 eV per atom
Calculated volume = 565.4 Å³/cell


Record 2
A geometry-optimized YTe2P structure, computed with PBE.

Cell lengths 4.342, 4.207, 6.058 Å; angles 90.00, 110.91, 90.00 degrees
Space group Pm (No. 6)
One atom of each set of equivalent atoms:
Y (0.000, 0.000, 0.000) x1
Te (0.306, 0.000, 0.607) x1
Te (0.589, 0.500, 0.181) x1
P (0.832, 0.500, 0.653) x1

Output
VASP energy = -5.217 eV/atom
Formation energy (no corrections) = -0.678 eV per atom
Calculated volume = 103.4 Å³/cell


Record 3
A geometry-optimized Y2TeP structure, computed with PBE.

Cell lengths 4.147, 4.066, 12.833 Å; angles 90.00, 90.00, 90.00 degrees
Space group Amm2 (No. 38)
One atom of each set of equivalent atoms:
Y (0.000, 0.000, 0.000) x2
Y (0.500, 0.000, 0.294) x2
Te (0.500, 0.000, 0.551) x2
P (0.000, 0.000, 0.792) x2

Output
VASP energy = -6.615 eV/atom
Energy above the most stable polymorph in this dataset = 31.7 kJ per mole of atoms
Formation energy (no corrections) = -1.245 eV per atom
Calculated volume = 216.4 Å³/cell


Record 4
A geometry-optimized Y6TeP5 structure, computed with PBE.

Cell lengths 7.064, 12.208, 7.056 Å; angles 90.00, 109.54, 90.00 degrees
Space group C2/m (No. 12)
One atom of each set of equivalent atoms:
Y (0.234, 0.000, 0.259) x4
Y (0.237, 0.176, 0.740) x8
Te (0.000, 0.500, 0.000) x2
P (0.000, 0.000, 0.500) x2
P (0.000, 0.167, 0.000) x4
P (0.000, 0.338, 0.500) x4

Output
VASP energy = -7.356 eV/atom
Formation energy (no corrections) = -1.608 eV per atom
Calculated volume = 573.5 Å³/cell


Record 5
A geometry-optimized YTe2P structure, computed with PBE.

Cell lengths 7.419, 7.419, 4.409 Å; angles 90.00, 90.00, 90.00 degrees
Space group P-42_1m (No. 113)
One atom of each set of equivalent atoms:
Y (0.000, 0.500, 0.203) x2
Te (0.208, 0.708, 0.695) x4
P (0.000, 0.000, 0.500) x2

Output
VASP energy = -5.007 eV/atom
Formation energy (no corrections) = -0.467 eV per atom
Calculated volume = 242.7 Å³/cell


Record 6
A geometry-optimized Y4TeP2 structure, computed with PBE.

Cell lengths 4.0290, 4.0290, 40.2953 Å; angles 90.00, 90.00, 120.00 degrees
Space group R-3m (No. 166, hexagonal axes)
One atom of each set of equivalent atoms:
Y (0.0000, 0.0000, 0.1281) x6
Y (0.0000, 0.0000, 0.2816) x6
Te (0.0000, 0.0000, 0.0000) x3
P (0.0000, 0.0000, 0.4227) x6

Output
VASP energy = -7.008 eV/atom
Formation energy (no corrections) = -1.320 eV per atom
Calculated volume = 566.5 Å³/cell